Below is crystalline TmMg5Pb6 at its relaxed geometry, with properties calculated at the GGA-PBE level.

a = 7.1770 Å, b = 7.1770 Å, c = 6.4409 Å
α = 97.76°, β = 97.76°, γ = 94.12°
Closest atoms and distances in Å follow each position.
Atoms (fractional coordinates):
Tm 0.0000 0.0000 0.0000  6 Pb 3.21-3.23, 2 Mg 3.52
Mg 0.1631 0.8369 0.5000  6 Pb 3.14-3.21, 1 Mg 3.43
Mg 0.3347 0.6653 0.0000  6 Pb 3.13-3.22, 1 Mg 3.47
Mg 0.5000 0.5000 0.5000  6 Pb 3.14-3.16
Mg 0.6653 0.3347 0.0000  6 Pb 3.13-3.22, 1 Mg 3.47
Mg 0.8369 0.1631 0.5000  6 Pb 3.14-3.21, 1 Mg 3.43
Pb 0.0866 0.4239 0.2551  5 Mg 3.14-3.22, 1 Tm 3.23, 1 Pb 3.48
Pb 0.2543 0.2543 0.7522  5 Mg 3.13-3.19, 1 Tm 3.21, 2 Pb 3.48
Pb 0.4239 0.0866 0.2551  5 Mg 3.14-3.22, 1 Tm 3.23, 1 Pb 3.48
Pb 0.5761 0.9134 0.7449  5 Mg 3.14-3.22, 1 Tm 3.23, 1 Pb 3.48
Pb 0.7457 0.7457 0.2478  5 Mg 3.13-3.19, 1 Tm 3.21, 2 Pb 3.48
Pb 0.9134 0.5761 0.7449  5 Mg 3.14-3.22, 1 Tm 3.23, 1 Pb 3.48

Summary:
**Crystal system**: monoclinic
**Calculated formation energy**: -0.095 eV/atom
**M_tot**: 0.00 μB per formula unit
**Density of states at the Fermi level**: 3.91 states/eV/cell
**Calculated density**: 7.85 Mg/m³

***

Below is crystalline Tm5MgPb4 at its relaxed geometry, with properties calculated at the GGA-PBE level.

a = 8.8282 Å, b = 8.8282 Å, c = 9.5022 Å
α = 91.30°, β = 91.30°, γ = 23.37°
Closest atoms and distances in Å follow each position.
Atoms (fractional coordinates):
Tm 0.0000 0.0000 0.0000  4 Pb 3.11
Tm 0.3096 0.3096 0.8951  3 Pb 3.17-3.53, 2 Tm 3.41
Tm 0.3477 0.3477 0.2637  4 Pb 3.17-3.50, 1 Tm 3.55
Tm 0.6523 0.6523 0.7363  4 Pb 3.17-3.50, 1 Tm 3.55
Tm 0.6904 0.6904 0.1049  3 Pb 3.17-3.53, 2 Tm 3.41
Mg 0.0000 0.0000 0.5000  6 Pb 2.94-3.17
Pb 0.1773 0.1773 0.4238  1 Mg 3.17, 5 Tm 3.35-3.53, 4 Pb 3.38-3.43
Pb 0.4690 0.4690 0.7375  2 Mg 2.94, 4 Tm 3.11-3.17
Pb 0.5310 0.5310 0.2625  2 Mg 2.94, 4 Tm 3.11-3.17
Pb 0.8227 0.8227 0.5762  1 Mg 3.17, 5 Tm 3.35-3.53, 4 Pb 3.38-3.43

Summary:
**Crystal system**: monoclinic
**Calculated formation energy**: -0.117 eV/atom
**M_tot**: 0.00 μB per formula unit
**Density of states at the Fermi level**: 8.56 states/eV/cell
**Calculated density**: 9.60 Mg/m³

***

Below is crystalline Tm2MgPb4 at its relaxed geometry, with properties calculated at the GGA-PBE level.

a = 10.0419 Å, b = 10.0419 Å, c = 6.2426 Å
α = 107.41°, β = 107.41°, γ = 20.75°
Closest atoms and distances in Å follow each position.
Atoms (fractional coordinates):
Tm 0.2490 0.2490 0.2469  6 Pb 3.24-3.34, 6 Tm 3.58-3.63
Tm 0.7510 0.7510 0.7531  6 Pb 3.24-3.34, 6 Tm 3.58-3.63
Mg 0.0000 0.0000 0.0000  6 Pb 3.00-3.06
Pb 0.1134 0.1134 0.7705  1 Mg 3.00, 3 Tm 3.29-3.34
Pb 0.3856 0.3856 0.6955  2 Mg 3.06, 3 Tm 3.24-3.32, 2 Pb 3.43
Pb 0.6144 0.6144 0.3045  2 Mg 3.06, 3 Tm 3.24-3.32, 2 Pb 3.43
Pb 0.8866 0.8866 0.2295  1 Mg 3.00, 3 Tm 3.29-3.34

Summary:
**Crystal system**: monoclinic
**Calculated formation energy**: -0.110 eV/atom
**M_tot**: 0.00 μB per formula unit
**Density of states at the Fermi level**: 4.06 states/eV/cell
**Calculated density**: 9.31 Mg/m³